# LaZn2Hg

A geometry-optimized LaZn2Hg structure (GGA-PBE, Alexandria via LeMat-Bulk).

Properties
space group: Cmmm
volume: 192.26 Å³/cell
size of the total moment: 0.000 μB/atom
energy: -2.14 eV per atom
ρ: 8.12 g cm⁻³
formation energy: -194 meV/atom

Lattice parameters (Å, degrees): 6.497 6.506 4.549 90.00 90.00 90.00
Fractional positions:
1 La 0.000 0.000 0.000
2 La 0.500 0.500 0.000
3 Zn 0.250 0.250 0.500
4 Zn 0.250 0.750 0.500
5 Zn 0.750 0.250 0.500
6 Zn 0.750 0.750 0.500
7 Hg 0.000 0.500 0.000
8 Hg 0.500 0.000 0.000

***

# LaZn2Hg

A geometry-optimized LaZn2Hg structure (GGA-PBE, Alexandria via LeMat-Bulk).

Properties
space group: I-4m2
volume: 182.73 Å³/cell
size of the total moment: 0.000 μB/atom
energy: -2.24 eV per atom
ρ: 8.55 g cm⁻³
formation energy: -292 meV/atom

Lattice parameters (Å, degrees): 5.058 5.058 7.142 90.00 90.00 90.00
Fractional positions:
1 La 0.000 0.000 0.000
2 La 0.500 0.500 0.500
3 Zn 0.000 0.000 0.500
4 Zn 0.000 0.500 0.250
5 Zn 0.500 0.000 0.750
6 Zn 0.500 0.500 0.000
7 Hg 0.000 0.500 0.750
8 Hg 0.500 0.000 0.250

***

Which value of size of the total moment does entry 2 give?
0.000 μB/atom

***

Copy entry 1 word for word.
# LaZn2Hg

A geometry-optimized LaZn2Hg structure (GGA-PBE, Alexandria via LeMat-Bulk).

Properties
space group: Cmmm
volume: 192.26 Å³/cell
size of the total moment: 0.000 μB/atom
energy: -2.14 eV per atom
ρ: 8.12 g cm⁻³
formation energy: -194 meV/atom

Lattice parameters (Å, degrees): 6.497 6.506 4.549 90.00 90.00 90.00
Fractional positions:
1 La 0.000 0.000 0.000
2 La 0.500 0.500 0.000
3 Zn 0.250 0.250 0.500
4 Zn 0.250 0.750 0.500
5 Zn 0.750 0.250 0.500
6 Zn 0.750 0.750 0.500
7 Hg 0.000 0.500 0.000
8 Hg 0.500 0.000 0.000

***

What is the volume in the first record?
192.26 Å³/cell

***

Copy entry 1 word for word.
# LaZn2Hg

A geometry-optimized LaZn2Hg structure (GGA-PBE, Alexandria via LeMat-Bulk).

Properties
space group: Cmmm
volume: 192.26 Å³/cell
size of the total moment: 0.000 μB/atom
energy: -2.14 eV per atom
ρ: 8.12 g cm⁻³
formation energy: -194 meV/atom

Lattice parameters (Å, degrees): 6.497 6.506 4.549 90.00 90.00 90.00
Fractional positions:
1 La 0.000 0.000 0.000
2 La 0.500 0.500 0.000
3 Zn 0.250 0.250 0.500
4 Zn 0.250 0.750 0.500
5 Zn 0.750 0.250 0.500
6 Zn 0.750 0.750 0.500
7 Hg 0.000 0.500 0.000
8 Hg 0.500 0.000 0.000